1.
## Mg3Ga9Ni2 (PBE-GGA)

Data for crystalline Mg3Ga9Ni2 at its relaxed geometry.

The total energy comes out at -3.30 eV per atom.

```
14
Lattice="-3.748 1.572 0.138 -3.623 -2.814 -6.457 -4.532 -5.802 2.921" Properties=species:S:1:pos:R:3 pbc="T T T"
Mg 0.000 0.000 0.000
Mg -5.093 -1.538 -0.984
Mg -6.810 -5.507 -2.415
Ga -4.077 -4.308 -1.768
Ga -9.276 -5.972 -4.171
Ga -2.627 -1.072 0.773
Ga -9.514 -6.758 -1.706
Ga -2.389 -0.287 -1.692
Ga -8.230 -3.486 -4.086
Ga -3.673 -3.558 0.687
Ga -8.610 -4.735 -0.166
Ga -3.293 -2.309 -3.232
Ni -6.105 -4.028 -0.114
Ni -5.798 -3.017 -3.285
```

=====

2.
## MgGa8Ni6 (PBE-GGA)

Data for crystalline MgGa8Ni6 at its relaxed geometry.

The total energy comes out at -4.42 eV per atom.

```
15
Lattice="-2.037 0.935 -5.988 2.940 -3.847 -4.175 -3.805 -4.725 -2.018" Properties=species:S:1:pos:R:3 pbc="T T T"
Mg 0.000 0.000 0.000
Ga -2.130 -6.095 -5.341
Ga 0.392 -5.029 -4.931
Ga -3.559 -3.796 -4.763
Ga -1.936 -5.095 -8.127
Ga -0.966 -2.542 -4.054
Ga 0.657 -3.841 -7.418
Ga -3.294 -2.608 -7.250
Ga -0.772 -1.542 -6.840
Ni -1.634 -4.793 -3.344
Ni -0.118 -6.265 -6.966
Ni -3.998 -5.061 -6.798
Ni 1.096 -2.576 -5.384
Ni -2.783 -1.372 -5.215
Ni -1.268 -2.844 -8.838
```

=====

3.
## MgGaNi5 (PBE-GGA)

Data for crystalline MgGaNi5 at its relaxed geometry.

The total energy comes out at -4.81 eV per atom.

```
7
Lattice="-2.390 2.525 -0.414 -2.343 -2.387 -1.033 -2.261 -0.941 7.302" Properties=species:S:1:pos:R:3 pbc="T T T"
Mg -2.366 0.069 -0.724
Ga -1.130 -0.471 3.651
Ni -2.829 -1.884 4.839
Ni -1.774 -1.445 1.431
Ni -2.853 0.572 5.148
Ni -1.798 1.011 1.740
Ni -3.497 -0.402 2.928
```

=====

4.
## MgGa5Ni6 (PBE-GGA)

Data for crystalline MgGa5Ni6 at its relaxed geometry.

The total energy comes out at -4.65 eV per atom.

```
12
Lattice="3.896 -0.022 1.298 0.030 5.967 0.010 -0.007 -0.011 6.517" Properties=species:S:1:pos:R:3 pbc="T T T"
Ni 3.238 4.438 3.348
Ni 3.223 1.486 3.343
Ni 1.956 1.586 0.652
Ni 1.970 4.360 0.657
Ni 0.696 4.449 4.482
Ni 0.681 1.497 4.477
Mg 0.000 0.000 0.000
Ga 2.603 2.962 5.230
Ga 1.319 -0.011 2.538
Ga 0.015 2.984 0.005
Ga 2.570 -0.022 5.277
Ga 1.316 2.973 2.595
```

=====

5.
## MgGa2Ni (PBE-GGA)

Data for crystalline MgGa2Ni at its relaxed geometry.

The total energy comes out at -3.51 eV per atom.

```
4
Lattice="3.976 0.000 0.000 0.000 3.906 0.000 0.000 0.000 3.906" Properties=species:S:1:pos:R:3 pbc="T T T"
Ni 1.988 1.953 1.953
Mg 1.988 0.000 0.000
Ga 0.000 0.000 1.953
Ga 0.000 1.953 0.000
```

=====

6.
## Mg12GaNi6 (PBE-GGA)

Data for crystalline Mg12GaNi6 at its relaxed geometry.

The total energy comes out at -3.07 eV per atom.

```
19
Lattice="7.127 0.000 -2.520 -3.564 6.172 -2.520 0.000 0.000 7.559" Properties=species:S:1:pos:R:3 pbc="T T T"
Mg 1.679 0.650 5.185
Mg 0.375 2.908 -0.530
Mg 3.188 3.265 3.050
Mg 1.885 5.523 -2.666
Mg -2.162 5.043 -0.146
Mg 2.706 1.129 0.530
Mg 0.858 5.043 1.989
Mg 5.725 1.129 2.666
Mg 4.797 1.779 -1.989
Mg 0.277 1.779 2.374
Mg 3.287 4.394 0.146
Mg -1.233 4.394 4.509
Ga 0.000 0.000 0.000
Ni 0.844 3.086 4.376
Ni 2.720 3.086 -1.857
Ni 0.469 5.360 -0.663
Ni 3.095 0.812 3.183
Ni 4.876 2.274 0.663
Ni -1.313 3.898 1.857
```